[1]
First-principles (PBE-GGA) data for a relaxed structure of KFe, as listed in the Alexandria database.

The calculation puts the total energy at -3.42 eV/atom. The calculation puts the density at 3432 kg/m3. Its symmetry is Cmmm. As for the magnetization: 1.2809 μB per atom. The value obtained for the polymorph energy (0 for the lowest one) is 16.02 kcal/mol of atoms. Its formation energy is 1.362 eV per atom.

POSCAR file:
```
KFe
1.0
1.670 -2.380 0.000
1.670 2.380 0.000
0.000 0.000 5.778
K Fe
1 1
Cartesian
0.000 0.000 0.000 K
1.670 0.000 2.889 Fe
```

***

[2]
First-principles (PBE-GGA) data for a relaxed structure of KFe, as listed in the Alexandria database.

The calculation puts the total energy at -4.11 eV/atom. The calculation puts the density at 2365 kg/m3. Its symmetry is I4/m. As for the magnetization: 1.4135 μB per atom. The value obtained for the polymorph energy (0 for the lowest one) is 0.00 kcal/mol of atoms. Its formation energy is 0.668 eV per atom.

POSCAR file:
```
KFe
1.0
-5.900 5.900 1.915
5.900 -5.900 1.915
5.900 5.900 -1.915
K Fe
4 4
Cartesian
9.503 1.404 0.000 K
1.404 2.296 0.000 K
4.496 3.604 1.915 K
-3.604 4.496 1.915 K
6.080 1.118 0.000 Fe
1.118 5.720 0.000 Fe
4.782 0.180 1.915 Fe
-0.180 4.782 1.915 Fe
```

***

[3]
First-principles (PBE-GGA) data for a relaxed structure of K2Fe, as listed in the Alexandria database.

The calculation puts the total energy at -2.89 eV/atom. The calculation puts the density at 1765 kg/m3. Its symmetry is C2/m. As for the magnetization: 0.9516 μB per atom. The value obtained for the polymorph energy (0 for the lowest one) is 0.00 kcal/mol of atoms. Its formation energy is 0.660 eV per atom.

POSCAR file:
```
K2Fe
1.0
6.985 -1.917 0.000
6.985 1.917 0.000
-4.412 0.000 9.419
K Fe
4 2
Cartesian
-0.655 0.000 1.685 K
2.973 0.000 3.222 K
6.584 0.000 6.197 K
10.212 0.000 7.734 K
-0.333 0.000 9.169 Fe
9.890 0.000 0.250 Fe
```

***

[4]
First-principles (PBE-GGA) data for a relaxed structure of KFe, as listed in the Alexandria database.

The calculation puts the total energy at -3.59 eV/atom. The calculation puts the density at 2381 kg/m3. Its symmetry is P6_3/mmc. As for the magnetization: 1.4602 μB per atom. The value obtained for the polymorph energy (0 for the lowest one) is 12.04 kcal/mol of atoms. Its formation energy is 1.190 eV per atom.

POSCAR file:
```
KFe
1.0
5.971 0.000 0.000
-2.985 5.171 0.000
0.000 0.000 8.579
K Fe
4 4
Cartesian
0.000 0.000 2.145 K
0.000 0.000 6.434 K
0.000 3.447 2.145 K
2.985 1.724 6.434 K
0.000 3.447 5.378 Fe
0.000 3.447 7.490 Fe
2.985 1.724 1.089 Fe
2.985 1.724 3.200 Fe
```

***

[5]
First-principles (PBE-GGA) data for a relaxed structure of KFe, as listed in the Alexandria database.

The calculation puts the total energy at -4.02 eV/atom. The calculation puts the density at 2519 kg/m3. Its symmetry is Cm. As for the magnetization: 1.3841 μB per atom. The value obtained for the polymorph energy (0 for the lowest one) is 2.04 kcal/mol of atoms. Its formation energy is 0.756 eV per atom.

POSCAR file:
```
KFe
1.0
7.945 -1.609 0.000
7.945 1.609 0.000
-3.923 0.000 7.341
K Fe
3 3
Cartesian
0.000 0.000 0.000 K
-1.426 0.000 4.072 K
3.953 0.000 0.896 K
2.880 0.000 4.216 Fe
9.556 0.000 2.988 Fe
9.421 0.000 5.263 Fe
```

***

[6]
First-principles (PBE-GGA) data for a relaxed structure of K2Fe, as listed in the Alexandria database.

The calculation puts the total energy at -2.42 eV/atom. The calculation puts the density at 1474 kg/m3. Its symmetry is Fm-3m. As for the magnetization: 1.1492 μB per atom. The value obtained for the polymorph energy (0 for the lowest one) is 10.81 kcal/mol of atoms. Its formation energy is 1.128 eV per atom.

POSCAR file:
```
K2Fe
1.0
0.000 4.227 4.227
4.227 0.000 4.227
4.227 4.227 0.000
K Fe
2 1
Cartesian
2.113 2.113 2.113 K
6.340 6.340 6.340 K
0.000 0.000 0.000 Fe
```

***

[7]
First-principles (PBE-GGA) data for a relaxed structure of KFe, as listed in the Alexandria database.

The calculation puts the total energy at -3.78 eV/atom. The calculation puts the density at 2022 kg/m3. Its symmetry is I4/mmm. As for the magnetization: 1.3771 μB per atom. The value obtained for the polymorph energy (0 for the lowest one) is 7.73 kcal/mol of atoms. Its formation energy is 1.003 eV per atom.

POSCAR file:
```
KFe
1.0
-6.568 6.568 1.807
6.568 -6.568 1.807
6.568 6.568 -1.807
K Fe
4 4
Cartesian
3.448 0.000 0.000 K
9.688 0.000 0.000 K
0.000 3.448 0.000 K
0.000 9.688 0.000 K
3.746 3.746 0.000 Fe
2.822 -2.822 1.807 Fe
-2.822 2.822 1.807 Fe
2.822 2.822 1.807 Fe
```

***

[8]
First-principles (PBE-GGA) data for a relaxed structure of K2Fe, as listed in the Alexandria database.

The calculation puts the total energy at -2.47 eV/atom. The calculation puts the density at 1800 kg/m3. Its symmetry is P6_3/mmc. As for the magnetization: 0.9789 μB per atom. The value obtained for the polymorph energy (0 for the lowest one) is 9.69 kcal/mol of atoms. Its formation energy is 1.080 eV per atom.

POSCAR file:
```
K2Fe
1.0
6.173 0.000 0.000
-3.087 5.346 0.000
0.000 0.000 7.494
K Fe
4 2
Cartesian
0.000 0.000 0.000 K
0.000 0.000 3.747 K
0.000 3.564 1.874 K
3.087 1.782 5.621 K
0.000 3.564 5.621 Fe
3.087 1.782 1.874 Fe
```

***

[9]
First-principles (PBE-GGA) data for a relaxed structure of KFe2, as listed in the Alexandria database.

The calculation puts the total energy at -4.87 eV/atom. The calculation puts the density at 3675 kg/m3. Its symmetry is Pnnm. As for the magnetization: 1.8861 μB per atom. Its formation energy is 1.135 eV per atom.

POSCAR file:
```
KFe2
1.0
2.749 0.000 0.000
0.000 8.156 0.000
0.000 0.000 6.077
K Fe
2 4
Cartesian
0.000 0.000 0.000 K
1.375 4.078 3.039 K
0.672 3.156 0.000 Fe
0.702 7.234 3.039 Fe
2.047 0.922 3.039 Fe
2.077 5.000 0.000 Fe
```

***

[10]
First-principles (PBE-GGA) data for a relaxed structure of KFe2, as listed in the Alexandria database.

The calculation puts the total energy at -4.91 eV/atom. The calculation puts the density at 3797 kg/m3. Its symmetry is P6/mmm. As for the magnetization: 0.4627 μB per atom. Its formation energy is 1.093 eV per atom.

POSCAR file:
```
KFe2
1.0
3.652 0.000 0.000
-1.826 3.163 0.000
0.000 0.000 5.708
K Fe
1 2
Cartesian
0.000 0.000 0.000 K
0.000 2.109 2.854 Fe
1.826 1.054 2.854 Fe
```

***

[11]
First-principles (PBE-GGA) data for a relaxed structure of KFe2, as listed in the Alexandria database.

The calculation puts the total energy at -3.79 eV/atom. The calculation puts the density at 2951 kg/m3. Its symmetry is Fm-3m. As for the magnetization: 2.1896 μB per atom. Its formation energy is 2.220 eV per atom.

POSCAR file:
```
KFe2
1.0
0.000 3.488 3.488
3.488 0.000 3.488
3.488 3.488 0.000
K Fe
1 2
Cartesian
0.000 0.000 0.000 K
1.744 1.744 1.744 Fe
5.231 5.231 5.231 Fe
```

***

[12]
First-principles (PBE-GGA) data for a relaxed structure of KFe, as listed in the Alexandria database.

The calculation puts the total energy at -3.26 eV/atom. The calculation puts the density at 2528 kg/m3. Its symmetry is P2_13. As for the magnetization: 1.5222 μB per atom. The value obtained for the polymorph energy (0 for the lowest one) is 19.66 kcal/mol of atoms. Its formation energy is 1.520 eV per atom.

POSCAR file:
```
KFe
1.0
6.295 0.000 0.000
0.000 6.295 0.000
0.000 0.000 6.295
K Fe
4 4
Cartesian
0.574 0.574 0.574 K
2.574 5.721 3.722 K
3.722 2.574 5.721 K
5.721 3.722 2.574 K
0.669 3.817 5.626 Fe
2.478 2.478 2.478 Fe
3.817 5.626 0.669 Fe
5.626 0.669 3.817 Fe
```

***

[13]
First-principles (PBE-GGA) data for a relaxed structure of KFe, as listed in the Alexandria database.

The calculation puts the total energy at -3.87 eV/atom. The calculation puts the density at 1361 kg/m3. Its symmetry is I-43m. As for the magnetization: 1.5019 μB per atom. The value obtained for the polymorph energy (0 for the lowest one) is 5.52 kcal/mol of atoms. Its formation energy is 0.907 eV per atom.

POSCAR file:
```
KFe
1.0
-4.874 4.874 4.874
4.874 -4.874 4.874
4.874 4.874 -4.874
K Fe
4 4
Cartesian
2.786 2.786 -2.786 K
2.786 -2.786 2.786 K
2.089 2.089 2.089 K
-2.786 2.786 2.786 K
0.814 0.814 -0.814 Fe
0.814 -0.814 0.814 Fe
-0.814 0.814 0.814 Fe
4.061 4.061 4.061 Fe
```

***

[14]
First-principles (PBE-GGA) data for a relaxed structure of KFe2, as listed in the Alexandria database.

The calculation puts the total energy at -3.92 eV/atom. The calculation puts the density at 2656 kg/m3. Its symmetry is P4/mmm. As for the magnetization: 2.0195 μB per atom. Its formation energy is 2.087 eV per atom.

POSCAR file:
```
KFe2
1.0
6.049 0.000 0.000
0.000 6.049 0.000
0.000 0.000 2.577
K Fe
1 2
Cartesian
0.000 0.000 0.000 K
0.000 3.025 1.288 Fe
3.025 0.000 1.288 Fe
```

***

[15]
First-principles (PBE-GGA) data for a relaxed structure of KFe, as listed in the Alexandria database.

The calculation puts the total energy at -4.05 eV/atom. The calculation puts the density at 2740 kg/m3. Its symmetry is P4/nmm. As for the magnetization: 1.3808 μB per atom. The value obtained for the polymorph energy (0 for the lowest one) is 1.51 kcal/mol of atoms. Its formation energy is 0.733 eV per atom.

POSCAR file:
```
KFe
1.0
3.366 0.000 0.000
0.000 3.366 0.000
0.000 0.000 10.159
K Fe
2 2
Cartesian
0.841 0.841 2.083 K
2.524 2.524 8.076 K
0.841 0.841 5.408 Fe
2.524 2.524 4.751 Fe
```

***

[16]
First-principles (PBE-GGA) data for a relaxed structure of KFe, as listed in the Alexandria database.

The calculation puts the total energy at -3.81 eV/atom. The calculation puts the density at 2516 kg/m3. Its symmetry is C2/c. As for the magnetization: 1.3055 μB per atom. The value obtained for the polymorph energy (0 for the lowest one) is 7.08 kcal/mol of atoms. Its formation energy is 0.974 eV per atom.

POSCAR file:
```
KFe
1.0
3.619 -5.062 0.000
3.619 5.062 0.000
-2.322 0.000 3.420
K Fe
2 2
Cartesian
1.878 3.456 2.565 K
3.039 -3.456 0.855 K
3.039 0.392 0.855 Fe
1.878 -0.392 2.565 Fe
```

***

[17]
First-principles (PBE-GGA) data for a relaxed structure of K2Fe, as listed in the Alexandria database.

The calculation puts the total energy at -2.27 eV/atom. The calculation puts the density at 1669 kg/m3. Its symmetry is P6_3/mmc. As for the magnetization: 1.0489 μB per atom. The value obtained for the polymorph energy (0 for the lowest one) is 14.48 kcal/mol of atoms. Its formation energy is 1.288 eV per atom.

POSCAR file:
```
K2Fe
1.0
7.256 0.000 0.000
-3.628 6.284 0.000
0.000 0.000 11.701
K Fe
8 4
Cartesian
0.000 0.000 0.000 K
0.000 0.000 5.850 K
0.000 2.247 2.925 K
-1.682 5.160 2.925 K
1.946 1.124 8.776 K
1.682 5.160 2.925 K
5.310 1.124 8.776 K
3.628 4.037 8.776 K
0.000 4.189 6.137 Fe
0.000 4.189 11.414 Fe
3.628 2.095 0.287 Fe
3.628 2.095 5.564 Fe
```

***

[18]
First-principles (PBE-GGA) data for a relaxed structure of KFe, as listed in the Alexandria database.

The calculation puts the total energy at -4.05 eV/atom. The calculation puts the density at 2679 kg/m3. Its symmetry is P2_1/m. As for the magnetization: 1.2984 μB per atom. The value obtained for the polymorph energy (0 for the lowest one) is 1.45 kcal/mol of atoms. Its formation energy is 0.730 eV per atom.

POSCAR file:
```
KFe
1.0
3.044 0.000 0.000
0.000 3.806 0.000
-0.081 0.000 10.159
K Fe
2 2
Cartesian
0.702 0.951 2.104 K
2.261 2.854 8.055 K
0.722 2.854 4.967 Fe
2.242 0.951 5.192 Fe
```

***

[19]
First-principles (PBE-GGA) data for a relaxed structure of KFe, as listed in the Alexandria database.

The calculation puts the total energy at -3.98 eV/atom. The calculation puts the density at 2231 kg/m3. Its symmetry is Pmmn. As for the magnetization: 1.4063 μB per atom. The value obtained for the polymorph energy (0 for the lowest one) is 3.02 kcal/mol of atoms. Its formation energy is 0.798 eV per atom.

POSCAR file:
```
KFe
1.0
4.148 0.000 0.000
0.000 15.297 0.000
0.000 0.000 6.681
K Fe
6 6
Cartesian
1.037 0.534 1.608 K
1.037 7.115 1.608 K
1.037 11.473 3.390 K
3.111 3.824 3.292 K
3.111 8.182 5.073 K
3.111 14.764 5.073 K
1.037 3.824 6.576 Fe
1.037 10.341 0.135 Fe
1.037 12.605 0.135 Fe
3.111 2.692 6.546 Fe
3.111 4.956 6.546 Fe
3.111 11.473 0.105 Fe
```

***

[20]
First-principles (PBE-GGA) data for a relaxed structure of KFe, as listed in the Alexandria database.

The calculation puts the total energy at -3.07 eV/atom. The calculation puts the density at 1987 kg/m3. Its symmetry is Fm-3m. As for the magnetization: 1.5260 μB per atom. The value obtained for the polymorph energy (0 for the lowest one) is 24.08 kcal/mol of atoms. Its formation energy is 1.712 eV per atom.

POSCAR file:
```
KFe
1.0
0.000 3.410 3.410
3.410 0.000 3.410
3.410 3.410 0.000
K Fe
1 1
Cartesian
0.000 0.000 0.000 K
3.410 3.410 3.410 Fe
```